Material: ScBi2S2
Method: DFT, GGA-PBE
State: optimized geometry

```
ScBi2S2
1.0
-1.555 3.371 -4.209
-5.391 -1.064 1.140
-3.566 4.727 1.362
Sc S Bi
1 2 2
Direct
0.000 0.000 0.000 Sc
0.750 0.250 0.500 S
0.250 0.750 0.500 S
0.322 0.322 0.355 Bi
0.678 0.678 0.645 Bi
```

Calculated values
E above lowest polymorph	0.208	eV per atom
crystal system	tetragonal

---

Material: Sc5Bi2S
Method: DFT, GGA-PBE
State: optimized geometry

```
Sc5Bi2S
1.0
-3.180 5.539 1.956
-5.333 -1.794 -3.599
2.646 -4.015 4.275
Sc Bi S
5 2 1
Direct
0.740 0.256 0.996 Sc
0.256 0.256 0.996 Sc
0.740 0.740 0.996 Sc
0.256 0.740 0.996 Sc
0.743 0.743 0.486 Sc
0.251 0.751 0.503 Bi
0.751 0.251 0.503 Bi
0.040 0.040 0.080 S
```

Calculated values
crystal system	tetragonal

---

Number 1: electronic total energy -0.161 Ha/atom. Number 2: electronic total energy -0.225 Ha/atom.